Material: TaMoF2
Method: DFT, PBE+U
State: optimized geometry

SG: No. 166
DFT total energy: -6.141 eV per atom

Unit cell a=8.220 b=8.220 c=8.220 alpha=19.68 beta=19.68 gamma=19.68
Element x y z (fractional)
Mo 0.000 0.000 0.000
F 0.900 0.900 0.900
F 0.100 0.100 0.100
Ta 0.500 0.500 0.500